# CePdRuPb PBE optimized geometry
# - V: 20.38 Å³ per atom
# - Energy relative to the elements: -0.2753 eV per atom
data_CePdRuPb
_space_group_name_H-M_alt 'F -4 3 m'
_space_group_IT_number 216
_space_group_name_Hall 'F -4 2 3'
_cell_length_a 6.883
_cell_length_b 6.883
_cell_length_c 6.883
_cell_angle_alpha 90.00
_cell_angle_beta 90.00
_cell_angle_gamma 90.00
loop_
_atom_site_label
_atom_site_type_symbol
_atom_site_fract_x
_atom_site_fract_y
_atom_site_fract_z
_atom_site_occupancy
Ce1 Ce 0.000 0.000 0.000 1
Pd1 Pd 0.250 0.250 0.750 1
Ru1 Ru 0.250 0.250 0.250 1
Pb1 Pb 0.000 0.000 0.500 1



# Pm4CdAg2Pt PBE optimized geometry
# - V: 25.57 Å³ per atom
# - Energy relative to the elements: -0.5086 eV per atom
data_Pm4CdAg2Pt
_space_group_name_H-M_alt 'R -3 m'
_space_group_IT_number 166
_space_group_name_Hall '-R 3 2"'
_cell_length_a 5.2560
_cell_length_b 5.2560
_cell_length_c 25.6481
_cell_angle_alpha 90.00
_cell_angle_beta 90.00
_cell_angle_gamma 120.00
loop_
_atom_site_label
_atom_site_type_symbol
_atom_site_fract_x
_atom_site_fract_y
_atom_site_fract_z
_atom_site_occupancy
Pm1 Pm 0.0000 0.0000 0.1166 1
Pm2 Pm 0.0000 0.0000 0.3685 1
Cd1 Cd 0.0000 0.0000 0.5000 1
Ag1 Ag 0.0000 0.0000 0.2400 1
Pt1 Pt 0.0000 0.0000 0.0000 1



# Hf3SiTe PBE optimized geometry
# - ΔE_f (raw): 131 kJ/mol of formula units
# - Energy above the lowest structure with this stoichiometry: 0.000 eV per formula unit
# - V: 23.99 Å³ per atom
data_Hf3SiTe
_space_group_name_H-M_alt 'P m -3 m'
_space_group_IT_number 221
_space_group_name_Hall '-P 4 2 3'
_cell_length_a 4.931
_cell_length_b 4.931
_cell_length_c 4.931
_cell_angle_alpha 90.00
_cell_angle_beta 90.00
_cell_angle_gamma 90.00
loop_
_atom_site_label
_atom_site_type_symbol
_atom_site_fract_x
_atom_site_fract_y
_atom_site_fract_z
_atom_site_occupancy
Hf1 Hf 0.000 0.000 0.500 1
Si1 Si 0.000 0.000 0.000 1
Te1 Te 0.500 0.500 0.500 1



# AlCu2Ni2 PBE optimized geometry
# - Energy above the lowest structure with this stoichiometry: 1.110 eV per formula unit
# - V: 12.38 Å³ per atom
# - Energy relative to the elements: -0.0212 eV per atom
data_AlCu2Ni2
_space_group_name_H-M_alt 'P 4/m b m'
_space_group_IT_number 127
_space_group_name_Hall '-P 4 2ab'
_cell_length_a 6.638
_cell_length_b 6.638
_cell_length_c 2.810
_cell_angle_alpha 90.00
_cell_angle_beta 90.00
_cell_angle_gamma 90.00
loop_
_atom_site_label
_atom_site_type_symbol
_atom_site_fract_x
_atom_site_fract_y
_atom_site_fract_z
_atom_site_occupancy
Al1 Al 0.000 0.000 0.000 1
Cu1 Cu 0.129 0.371 0.000 1
Ni1 Ni 0.170 0.670 0.500 1



# LaAlGeI PBE optimized geometry
# - ΔE_f (raw): -329 kJ/mol of formula units
# - V: 31.28 Å³ per atom
data_LaAlGeI
_space_group_name_H-M_alt 'R -3 m'
_space_group_IT_number 166
_space_group_name_Hall '-R 3 2"'
_cell_length_a 4.3791
_cell_length_b 4.3791
_cell_length_c 45.2052
_cell_angle_alpha 90.00
_cell_angle_beta 90.00
_cell_angle_gamma 120.00
loop_
_atom_site_label
_atom_site_type_symbol
_atom_site_fract_x
_atom_site_fract_y
_atom_site_fract_z
_atom_site_occupancy
La1 La 0.0000 0.0000 0.0751 1
Al1 Al 0.0000 0.0000 0.3114 1
Ge1 Ge 0.0000 0.0000 0.3682 1
I1 I 0.0000 0.0000 0.2118 1



# NaCaY2Pt PBE optimized geometry
# - Energy above the lowest structure with this stoichiometry: 5.409 eV per formula unit
# - V: 33.00 Å³ per atom
# - Energy relative to the elements: 0.7179 eV per atom
data_NaCaY2Pt
_space_group_name_H-M_alt 'P 4/m m m'
_space_group_IT_number 123
_space_group_name_Hall '-P 4 2'
_cell_length_a 5.759
_cell_length_b 5.759
_cell_length_c 4.975
_cell_angle_alpha 90.00
_cell_angle_beta 90.00
_cell_angle_gamma 90.00
loop_
_atom_site_label
_atom_site_type_symbol
_atom_site_fract_x
_atom_site_fract_y
_atom_site_fract_z
_atom_site_occupancy
Na1 Na 0.000 0.000 0.000 1
Ca1 Ca 0.500 0.500 0.500 1
Y1 Y 0.000 0.500 0.500 1
Pt1 Pt 0.500 0.500 0.000 1



# HfSe2BrN PBE optimized geometry
# - ΔE_f (raw): 193 kJ/mol of formula units
# - Energy above the lowest structure with this stoichiometry: 1.549 eV per formula unit
# - V: 28.68 Å³ per atom
data_HfSe2BrN
_space_group_name_H-M_alt 'P 4/m m m'
_space_group_IT_number 123
_space_group_name_Hall '-P 4 2'
_cell_length_a 5.158
_cell_length_b 5.158
_cell_length_c 5.389
_cell_angle_alpha 90.00
_cell_angle_beta 90.00
_cell_angle_gamma 90.00
loop_
_atom_site_label
_atom_site_type_symbol
_atom_site_fract_x
_atom_site_fract_y
_atom_site_fract_z
_atom_site_occupancy
Hf1 Hf 0.000 0.000 0.000 1
Se1 Se 0.000 0.500 0.000 1
Br1 Br 0.000 0.000 0.500 1
N1 N 0.500 0.500 0.500 1



# BaCdH8Rh2 PBE optimized geometry
# - V: 11.23 Å³ per atom
# - Uncorrected energy: -0.1432 Ha/atom
data_BaCdH8Rh2
_space_group_name_H-M_alt 'R -3'
_space_group_IT_number 148
_space_group_name_Hall '-R 3'
_cell_length_a 4.9851
_cell_length_b 4.9851
_cell_length_c 18.7859
_cell_angle_alpha 90.00
_cell_angle_beta 90.00
_cell_angle_gamma 120.00
loop_
_atom_site_label
_atom_site_type_symbol
_atom_site_fract_x
_atom_site_fract_y
_atom_site_fract_z
_atom_site_occupancy
Ba1 Ba 0.0000 0.0000 0.0000 1
Cd1 Cd 0.0000 0.0000 0.5000 1
H1 H 0.0000 0.0000 0.2862 1
H2 H 0.0551 0.4502 0.5439 1
Rh1 Rh 0.0000 0.0000 0.1950 1



# ScNb2PIr PBE optimized geometry
# - V: 22.00 Å³ per atom
# - Energy relative to the elements: 0.6429 eV per atom
data_ScNb2PIr
_space_group_name_H-M_alt 'P 4/m m m'
_space_group_IT_number 123
_space_group_name_Hall '-P 4 2'
_cell_length_a 5.006
_cell_length_b 5.006
_cell_length_c 4.389
_cell_angle_alpha 90.00
_cell_angle_beta 90.00
_cell_angle_gamma 90.00
loop_
_atom_site_label
_atom_site_type_symbol
_atom_site_fract_x
_atom_site_fract_y
_atom_site_fract_z
_atom_site_occupancy
Sc1 Sc 0.000 0.000 0.000 1
Nb1 Nb 0.000 0.500 0.500 1
P1 P 0.500 0.500 0.000 1
Ir1 Ir 0.500 0.500 0.500 1



# NaGeBi PBE optimized geometry
# - Energy above the lowest structure with this stoichiometry: 0.074 eV per formula unit
# - V: 27.36 Å³ per atom
# - Energy relative to the elements: -0.0782 eV per atom
data_NaGeBi
_space_group_name_H-M_alt 'I m a 2'
_space_group_IT_number 46
_space_group_name_Hall 'I 2 -2a'
_cell_length_a 4.979
_cell_length_b 9.410
_cell_length_c 7.008
_cell_angle_alpha 90.00
_cell_angle_beta 90.00
_cell_angle_gamma 90.00
loop_
_atom_site_label
_atom_site_type_symbol
_atom_site_fract_x
_atom_site_fract_y
_atom_site_fract_z
_atom_site_occupancy
Na1 Na 0.250 0.187 0.000 1
Ge1 Ge 0.250 0.570 0.209 1
Bi1 Bi 0.250 0.625 0.802 1



# YP2IrS PBE optimized geometry
# - ΔE_f (raw): 635 kJ/mol of formula units
# - Energy above the lowest structure with this stoichiometry: 7.414 eV per formula unit
# - V: 27.22 Å³ per atom
data_YP2IrS
_space_group_name_H-M_alt 'P 4/m m m'
_space_group_IT_number 123
_space_group_name_Hall '-P 4 2'
_cell_length_a 5.209
_cell_length_b 5.209
_cell_length_c 5.016
_cell_angle_alpha 90.00
_cell_angle_beta 90.00
_cell_angle_gamma 90.00
loop_
_atom_site_label
_atom_site_type_symbol
_atom_site_fract_x
_atom_site_fract_y
_atom_site_fract_z
_atom_site_occupancy
Y1 Y 0.000 0.000 0.000 1
P1 P 0.000 0.500 0.000 1
Ir1 Ir 0.500 0.500 0.500 1
S1 S 0.000 0.000 0.500 1



# LiAgHg6 PBE optimized geometry
# - Energy above the lowest structure with this stoichiometry: 0.000 eV per formula unit
# - V: 25.86 Å³ per atom
# - Energy relative to the elements: -0.0514 eV per atom
data_LiAgHg6
_space_group_name_H-M_alt 'C 1 2/m 1'
_space_group_IT_number 12
_space_group_name_Hall '-C 2y'
_cell_length_a 7.971
_cell_length_b 13.410
_cell_length_c 4.863
_cell_angle_alpha 90.00
_cell_angle_beta 127.26
_cell_angle_gamma 90.00
loop_
_atom_site_label
_atom_site_type_symbol
_atom_site_fract_x
_atom_site_fract_y
_atom_site_fract_z
_atom_site_occupancy
Li1 Li 0.000 0.000 0.000 1
Ag1 Ag 0.000 0.500 0.500 1
Hg1 Hg 0.243 0.000 0.744 1
Hg2 Hg 0.245 0.184 0.244 1



The records above give, respectively, DOS at the Fermi energy values of 23.56, 20.24, 7.61, 6.25, 13.75, 7.31, 4.08, 1.37, 7.38, 2.76, 6.56, 4.26 states/eV/cell.